[1]
Material: Li3SmPb4
Method: DFT, PBE-GGA
State: relaxed

Calculated values
Total energy, eV for the cell shown: -55.7
Calculated volume, Å³/f.u.: 198.8
Magnetization, μB per formula unit: 0.000

Cell: 5.227 7.273 10.458 Å, 90.00 90.00 90.00°
Atoms (fractional coordinates):
Pb: 0.500 0.775 0.000
Pb: 0.500 0.775 0.500
Pb: 0.500 0.225 0.000
Pb: 0.500 0.225 0.500
Pb: 0.999 0.775 0.750
Pb: 0.001 0.775 0.250
Pb: 0.001 0.225 0.250
Pb: 0.999 0.225 0.750
Sm: 0.000 0.500 0.000
Sm: 0.000 0.500 0.500
Li: 0.000 0.000 0.000
Li: 0.000 0.000 0.500
Li: 0.499 0.000 0.750
Li: 0.501 0.000 0.250
Li: 0.500 0.500 0.750
Li: 0.500 0.500 0.250

---

[2]
Material: LiSmPb2
Method: DFT, PBE-GGA
State: relaxed

Calculated values
Total energy, eV for the cell shown: -15.4
Calculated volume, Å³/f.u.: 107.6
Magnetization, μB per formula unit: 0.000

Cell: 4.803 4.803 6.056 Å, 66.64 66.64 60.00°
Atoms (fractional coordinates):
Pb: 0.768 0.768 0.695
Pb: 0.232 0.232 0.305
Sm: 0.000 0.000 0.000
Li: 0.500 0.500 0.500

---

[3]
Material: Li4SmPb5
Method: DFT, PBE-GGA
State: relaxed

Calculated values
Total energy, eV for the cell shown: -34.0
Calculated volume, Å³/f.u.: 240.5
Magnetization, μB per formula unit: 0.000

Cell: 3.593 3.593 18.628 Å, 90.00 90.00 90.00°
Atoms (fractional coordinates):
Li: 0.000 0.000 0.215
Li: 0.000 0.000 0.406
Li: 0.000 0.000 0.594
Li: 0.000 0.000 0.785
Sm: 0.000 0.000 0.000
Pb: 0.500 0.500 0.122
Pb: 0.500 0.500 0.311
Pb: 0.500 0.500 0.500
Pb: 0.500 0.500 0.689
Pb: 0.500 0.500 0.878

---

[4]
Material: Li4SmPb4
Method: DFT, PBE-GGA
State: relaxed

Calculated values
Total energy, eV for the cell shown: -58.8
Calculated volume, Å³/f.u.: 218.3
Magnetization, μB per formula unit: 0.000

Cell: 6.741 6.741 9.611 Å, 90.00 90.00 90.00°
Atoms (fractional coordinates):
Li: 0.220 0.500 0.922
Li: 0.780 0.500 0.922
Li: 0.500 0.780 0.078
Li: 0.500 0.220 0.078
Li: 0.000 0.720 0.422
Li: 0.000 0.280 0.422
Li: 0.280 0.000 0.578
Li: 0.720 0.000 0.578
Sm: 0.000 0.000 0.000
Sm: 0.500 0.500 0.500
Pb: 0.500 0.771 0.787
Pb: 0.500 0.229 0.787
Pb: 0.771 0.500 0.213
Pb: 0.229 0.500 0.213
Pb: 0.271 0.000 0.287
Pb: 0.729 0.000 0.287
Pb: 0.000 0.271 0.713
Pb: 0.000 0.729 0.713

---

[5]
Material: LiSm3Pb12
Method: DFT, PBE-GGA
State: relaxed

Calculated values
Total energy, eV for the cell shown: -65.2
Calculated volume, Å³/f.u.: 468.2
Magnetization, μB per formula unit: 0.000

Cell: 4.858 4.858 19.844 Å, 90.00 90.00 90.00°
Atoms (fractional coordinates):
Li: 0.000 0.000 0.000
Sm: 0.000 0.000 0.253
Sm: 0.000 0.000 0.500
Sm: 0.000 0.000 0.747
Pb: 0.500 0.500 0.000
Pb: 0.500 0.500 0.246
Pb: 0.500 0.500 0.500
Pb: 0.500 0.500 0.754
Pb: 0.500 0.000 0.120
Pb: 0.500 0.000 0.374
Pb: 0.500 0.000 0.626
Pb: 0.500 0.000 0.880
Pb: 0.000 0.500 0.120
Pb: 0.000 0.500 0.374
Pb: 0.000 0.500 0.626
Pb: 0.000 0.500 0.880

---

[6]
Material: Li2Sm5Pb4
Method: DFT, PBE-GGA
State: relaxed

Calculated values
Total energy, eV for the cell shown: -45.2
Calculated volume, Å³/f.u.: 346.5
Magnetization, μB per formula unit: 1.778

Cell: 4.521 7.641 10.989 Å, 110.65 101.87 90.00°
Atoms (fractional coordinates):
Li: 0.567 0.565 0.133
Li: 0.433 0.435 0.867
Sm: 0.161 0.920 0.322
Sm: 0.839 0.080 0.678
Sm: 0.161 0.398 0.321
Sm: 0.500 0.000 0.000
Sm: 0.839 0.602 0.679
Pb: 0.708 0.707 0.417
Pb: 0.000 0.706 0.000
Pb: 0.292 0.293 0.583
Pb: 0.000 0.294 0.000

---

[7]
Material: LiSm2Pb8
Method: DFT, PBE-GGA
State: relaxed

Calculated values
Total energy, eV for the cell shown: -44.0
Calculated volume, Å³/f.u.: 319.7
Magnetization, μB per formula unit: 0.000

Cell: 4.838 4.838 13.655 Å, 90.00 90.00 90.00°
Atoms (fractional coordinates):
Li: 0.000 0.000 0.000
Sm: 0.000 0.000 0.322
Sm: 0.000 0.000 0.678
Pb: 0.000 0.500 0.500
Pb: 0.500 0.000 0.500
Pb: 0.500 0.500 0.308
Pb: 0.500 0.500 0.692
Pb: 0.000 0.500 0.129
Pb: 0.500 0.000 0.129
Pb: 0.000 0.500 0.871
Pb: 0.500 0.000 0.871

---

[8]
Material: Li2SmPb4
Method: DFT, PBE-GGA
State: relaxed

Calculated values
Total energy, eV for the cell shown: -23.1
Calculated volume, Å³/f.u.: 224.0
Magnetization, μB per formula unit: 0.000

Cell: 5.971 5.971 7.569 Å, 113.23 113.23 90.00°
Atoms (fractional coordinates):
Li: 0.633 0.633 0.266
Li: 0.367 0.367 0.734
Sm: 0.000 0.000 0.000
Pb: 0.750 0.250 0.500
Pb: 0.250 0.750 0.500
Pb: 0.500 0.000 0.000
Pb: 0.000 0.500 0.000

---

[9]
Material: Li4Sm3Pb4
Method: DFT, PBE-GGA
State: relaxed

Calculated values
Total energy, eV for the cell shown: -42.2
Calculated volume, Å³/f.u.: 267.3
Magnetization, μB per formula unit: 0.000

Cell: 4.719 7.316 8.882 Å, 114.32 105.41 90.00°
Atoms (fractional coordinates):
Li: 0.327 0.138 0.653
Li: 0.673 0.484 0.347
Li: 0.673 0.862 0.347
Li: 0.327 0.516 0.653
Sm: 0.127 0.127 0.254
Sm: 0.873 0.873 0.746
Sm: 0.000 0.500 0.000
Pb: 0.215 0.715 0.430
Pb: 0.785 0.285 0.570
Pb: 0.500 0.793 0.000
Pb: 0.500 0.207 0.000

---

[10]
Material: Li2SmPb3
Method: DFT, PBE-GGA
State: relaxed

Calculated values
Total energy, eV for the cell shown: -43.3
Calculated volume, Å³/f.u.: 154.4
Magnetization, μB per formula unit: 0.000

Cell: 5.062 5.062 13.919 Å, 90.00 90.00 120.00°
Atoms (fractional coordinates):
Li: 0.667 0.333 0.401
Li: 0.333 0.667 0.599
Li: 0.333 0.667 0.901
Li: 0.667 0.333 0.099
Sm: 0.000 0.000 0.250
Sm: 0.000 0.000 0.750
Pb: 0.000 0.000 0.500
Pb: 0.000 0.000 0.000
Pb: 0.667 0.333 0.634
Pb: 0.333 0.667 0.134
Pb: 0.667 0.333 0.866
Pb: 0.333 0.667 0.366

---

[11]
Material: Li3SmPb2
Method: DFT, PBE-GGA
State: relaxed

Calculated values
Total energy, eV for the cell shown: -40.1
Calculated volume, Å³/f.u.: 138.4
Magnetization, μB per formula unit: 0.000

Cell: 4.746 7.676 8.882 Å, 65.71 74.50 71.99°
Atoms (fractional coordinates):
Li: 0.723 0.094 0.459
Li: 0.052 0.279 0.617
Li: 0.404 0.512 0.680
Li: 0.596 0.488 0.320
Li: 0.948 0.721 0.383
Li: 0.277 0.906 0.541
Sm: 0.139 0.745 0.976
Sm: 0.861 0.255 0.024
Pb: 0.545 0.107 0.803
Pb: 0.455 0.893 0.197
Pb: 0.210 0.308 0.273
Pb: 0.790 0.692 0.727

---

[12]
Material: LiSm2Pb5
Method: DFT, PBE-GGA
State: relaxed

Calculated values
Total energy, eV for the cell shown: -66.1
Calculated volume, Å³/f.u.: 223.2
Magnetization, μB per formula unit: 0.000

Cell: 4.843 6.849 13.458 Å, 90.00 90.00 90.00°
Atoms (fractional coordinates):
Li: 0.000 0.000 0.500
Li: 0.000 0.500 0.000
Sm: 0.500 0.288 0.364
Sm: 0.500 0.712 0.636
Sm: 0.500 0.212 0.864
Sm: 0.500 0.788 0.136
Pb: 0.500 0.289 0.111
Pb: 0.500 0.711 0.889
Pb: 0.500 0.789 0.389
Pb: 0.500 0.211 0.611
Pb: 0.000 0.971 0.741
Pb: 0.000 0.029 0.259
Pb: 0.000 0.471 0.759
Pb: 0.000 0.529 0.241
Pb: 0.000 0.500 0.500
Pb: 0.000 0.000 0.000

---

What is the formula in the first record? Li3SmPb4